Version one
This record from Alexandria via LeMat-Bulk describes an optimized crystal structure of Ni4W3. The functional is PBE.

Summary:
Its total magnetic moment is 0.00 Bohr magnetons per cell. Its space group is No. 139. The calculation puts the calculated density at 14.165 Mg/m³.

Cell: 9.622 9.622 9.622 Å, 161.23 161.23 26.66°
Element x y z (fractional)
Ni: 0.864 0.864 0.000
Ni: 0.570 0.570 0.000
Ni: 0.430 0.430 0.000
Ni: 0.136 0.136 0.000
W: 0.000 0.000 0.000
W: 0.708 0.708 0.000
W: 0.292 0.292 0.000

---

Version two
This record from Alexandria via LeMat-Bulk describes an optimized crystal structure of Ni4W3. The functional is PBE.

Summary:
Its total magnetic moment is 0.00 Bohr magnetons per cell. Its space group is No. 191. The calculation puts the calculated density at 13.022 Mg/m³.

Cell: 5.040 5.040 4.559 Å, 90.00 90.00 120.00°
Element x y z (fractional)
Ni: 0.000 0.000 0.257
Ni: 0.000 0.000 0.743
Ni: 0.667 0.333 0.500
Ni: 0.333 0.667 0.500
W: 0.000 0.500 0.000
W: 0.500 0.500 0.000
W: 0.500 0.000 0.000

---

The structure with the greatest stability is version one.

---

Version one
This record from Alexandria via LeMat-Bulk describes an optimized crystal structure of Zn3NiW. The functional is PBE.

Summary:
Its total magnetic moment is 0.00 Bohr magnetons per cell. Its space group is No. 221. The calculation puts the calculated density at 6.398 Mg/m³.

Cell: 4.847 4.847 4.847 Å, 90.00 90.00 90.00°
Element x y z (fractional)
Ni: 0.500 0.500 0.500
Zn: 0.000 0.500 0.000
Zn: 0.000 0.000 0.500
Zn: 0.500 0.000 0.000
W: 0.000 0.000 0.000

---

Version two
This record from Alexandria via LeMat-Bulk describes an optimized crystal structure of Zn3NiW. The functional is PBE.

Summary:
Its total magnetic moment is 0.00 Bohr magnetons per cell. Its space group is No. 221. The calculation puts the calculated density at 9.000 Mg/m³.

Cell: 4.326 4.326 4.326 Å, 90.00 90.00 90.00°
Element x y z (fractional)
Ni: 0.000 0.000 0.000
Zn: 0.000 0.500 0.000
Zn: 0.000 0.000 0.500
Zn: 0.500 0.000 0.000
W: 0.500 0.500 0.500

---

The structure with the greatest stability is version two.

---

Version one
This record from Alexandria via LeMat-Bulk describes an optimized crystal structure of Zn2Ni2W. The functional is PBE.

Summary:
Its total magnetic moment is 0.00 Bohr magnetons per cell. Its space group is No. 127. The calculation puts the calculated density at 11.038 Mg/m³.

Cell: 6.992 6.992 2.659 Å, 90.00 90.00 90.00°
Element x y z (fractional)
Ni: 0.371 0.871 0.000
Ni: 0.871 0.629 0.000
Ni: 0.629 0.129 0.000
Ni: 0.129 0.371 0.000
Zn: 0.168 0.668 0.500
Zn: 0.668 0.832 0.500
Zn: 0.832 0.332 0.500
Zn: 0.332 0.168 0.500
W: 0.000 0.000 0.000
W: 0.500 0.500 0.000

---

Version two
This record from Alexandria via LeMat-Bulk describes an optimized crystal structure of Zn2Ni2W. The functional is PBE.

Summary:
Its total magnetic moment is 0.00 Bohr magnetons per cell. Its space group is No. 127. The calculation puts the calculated density at 11.077 Mg/m³.

Cell: 7.018 7.018 2.630 Å, 90.00 90.00 90.00°
Element x y z (fractional)
Ni: 0.176 0.676 0.500
Ni: 0.676 0.824 0.500
Ni: 0.824 0.324 0.500
Ni: 0.324 0.176 0.500
Zn: 0.376 0.876 0.000
Zn: 0.876 0.624 0.000
Zn: 0.624 0.124 0.000
Zn: 0.124 0.376 0.000
W: 0.000 0.000 0.000
W: 0.500 0.500 0.000

---

The structure with the greatest stability is version two.

---

Version one
This record from Alexandria via LeMat-Bulk describes an optimized crystal structure of ZrNi2W. The functional is PBE.

Summary:
Its total magnetic moment is 0.00 Bohr magnetons per cell. Its space group is No. 166. The calculation puts the calculated density at 10.717 Mg/m³.

Cell: 8.992 8.992 8.992 Å, 18.03 18.03 18.03°
Element x y z (fractional)
Ni: 0.994 0.994 0.994
Ni: 0.506 0.506 0.506
W: 0.250 0.250 0.250
Zr: 0.750 0.750 0.750

---

Version two
This record from Alexandria via LeMat-Bulk describes an optimized crystal structure of ZrNi2W. The functional is PBE.

Summary:
Its total magnetic moment is 0.00 Bohr magnetons per cell. Its space group is No. 12. The calculation puts the calculated density at 11.119 Mg/m³.

Cell: 4.689 4.689 2.783 Å, 90.09 90.09 106.64°
Element x y z (fractional)
Ni: 0.000 0.000 0.000
Ni: 0.500 0.500 0.000
W: 0.500 0.000 0.500
Zr: 0.000 0.500 0.500

---

Version three
This record from Alexandria via LeMat-Bulk describes an optimized crystal structure of ZrNi2W. The functional is PBE.

Summary:
Its total magnetic moment is 0.00 Bohr magnetons per cell. Its space group is No. 123. The calculation puts the calculated density at 11.061 Mg/m³.

Cell: 2.789 2.789 7.576 Å, 90.00 90.00 89.90°
Element x y z (fractional)
Ni: 0.000 0.000 0.019
Ni: 0.000 0.000 0.481
W: 0.500 0.500 0.250
Zr: 0.500 0.500 0.750

---

The structure with the greatest stability is version three.

---

Version one
This record from Alexandria via LeMat-Bulk describes an optimized crystal structure of ZrNi2W. The functional is PBE.

Summary:
Its total magnetic moment is 0.00 Bohr magnetons per cell. Its space group is No. 6. The calculation puts the calculated density at 11.041 Mg/m³.

Cell: 4.379 2.798 4.843 Å, 84.05 90.00 90.00°
Element x y z (fractional)
Ni: 0.000 0.140 0.966
Ni: 0.500 0.135 0.298
W: 0.000 0.522 0.423
Zr: 0.500 0.703 0.813

---

Version two
This record from Alexandria via LeMat-Bulk describes an optimized crystal structure of ZrNi2W. The functional is PBE.

Summary:
Its total magnetic moment is 0.00 Bohr magnetons per cell. Its space group is No. 8. The calculation puts the calculated density at 11.050 Mg/m³.

Cell: 5.011 5.011 4.673 Å, 73.44 73.44 31.75°
Element x y z (fractional)
Ni: 0.023 0.023 0.030
Ni: 0.731 0.731 0.709
W: 0.482 0.482 0.566
Zr: 0.263 0.263 0.195

---

Version three
This record from Alexandria via LeMat-Bulk describes an optimized crystal structure of ZrNi2W. The functional is PBE.

Summary:
Its total magnetic moment is 0.00 Bohr magnetons per cell. Its space group is No. 99. The calculation puts the calculated density at 10.842 Mg/m³.

Cell: 3.165 3.173 5.985 Å, 90.00 90.00 90.00°
Element x y z (fractional)
Zr: 0.500 0.500 0.775
Ni: 0.000 0.000 0.029
Ni: 0.500 0.500 0.245
W: 0.000 0.000 0.452

---

Version four
This record from Alexandria via LeMat-Bulk describes an optimized crystal structure of ZrNi2W. The functional is PBE.

Summary:
Its total magnetic moment is 0.00 Bohr magnetons per cell. Its space group is No. 12. The calculation puts the calculated density at 10.325 Mg/m³.

Cell: 4.372 4.372 5.655 Å, 81.89 81.89 36.18°
Element x y z (fractional)
Ni: 0.000 0.000 0.939
Ni: 0.500 0.500 0.561
W: 0.750 0.750 0.750
Zr: 0.250 0.250 0.250

---

The structure with the greatest stability is version three.

---

Version one
This record from Alexandria via LeMat-Bulk describes an optimized crystal structure of ZrNi3W. The functional is PBE.

Summary:
Its total magnetic moment is 0.53 Bohr magnetons per cell. Its space group is No. 221. The calculation puts the calculated density at 8.688 Mg/m³.

Cell: 4.418 4.418 4.418 Å, 90.00 90.00 90.00°
Element x y z (fractional)
Ni: 0.000 0.500 0.000
Ni: 0.000 0.000 0.500
Ni: 0.500 0.000 0.000
Zr: 0.000 0.000 0.000
W: 0.500 0.500 0.500

---

Version two
This record from Alexandria via LeMat-Bulk describes an optimized crystal structure of ZrNi3W. The functional is PBE.

Summary:
Its total magnetic moment is 0.00 Bohr magnetons per cell. Its space group is No. 221. The calculation puts the calculated density at 8.396 Mg/m³.

Cell: 4.469 4.469 4.469 Å, 90.00 90.00 90.00°
Element x y z (fractional)
Ni: 0.000 0.500 0.000
Ni: 0.000 0.000 0.500
Ni: 0.500 0.000 0.000
Zr: 0.500 0.500 0.500
W: 0.000 0.000 0.000

---

The structure with the greatest stability is version two.